Entry 1:
{"formula": "ZrBr2N", "functional": "GGA-PBE", "state": "relaxed", "lattice": [[1.858, 1.073, 10.953], [-1.858, 1.073, 10.953], [0.000, -2.146, 10.953]], "species": ["Zr", "Br", "Br", "N"], "frac_coords": [[0.000, 0.000, 0.000], [0.076, 0.076, 0.076], [0.924, 0.924, 0.924], [0.500, 0.500, 0.500]], "space_group": "R-3m", "energy_ev_per_atom": -4.17, "de_polymorph_mev_per_atom": 1445}

***

Entry 2:
{"formula": "Zr2Br2N", "functional": "GGA-PBE", "state": "relaxed", "lattice": [[1.759, 1.015, 10.189], [-1.759, 1.015, 10.189], [0.000, -2.031, 10.189]], "species": ["Zr", "Zr", "Br", "Br", "N"], "frac_coords": [[0.130, 0.130, 0.130], [0.870, 0.870, 0.870], [0.267, 0.267, 0.267], [0.733, 0.733, 0.733], [0.500, 0.500, 0.500]], "space_group": "R-3m", "energy_ev_per_atom": -7.19}

***

Entry 3:
{"formula": "Zr3BrN", "functional": "GGA-PBE", "state": "relaxed", "lattice": [[4.555, 0.000, 0.000], [0.000, 4.555, 0.000], [0.000, 0.000, 4.555]], "species": ["Zr", "Zr", "Zr", "Br", "N"], "frac_coords": [[0.000, 0.000, 0.500], [0.000, 0.500, 0.000], [0.500, 0.000, 0.000], [0.500, 0.500, 0.500], [0.000, 0.000, 0.000]], "space_group": "Pm-3m", "energy_ev_per_atom": -7.44, "de_polymorph_mev_per_atom": 0}

***

Entry 4:
{"formula": "Na4Br3", "functional": "GGA-PBE", "state": "relaxed", "lattice": [[2.105, 1.215, 13.911], [-2.105, 1.215, 13.911], [0.000, -2.431, 13.911]], "species": ["Na", "Na", "Na", "Na", "Br", "Br", "Br"], "frac_coords": [[0.124, 0.124, 0.124], [0.372, 0.372, 0.372], [0.628, 0.628, 0.628], [0.876, 0.876, 0.876], [0.251, 0.251, 0.251], [0.500, 0.500, 0.500], [0.749, 0.749, 0.749]], "space_group": "R-3m", "energy_ev_per_atom": -2.76}

***

Entry 5:
{"formula": "NaBr2", "functional": "GGA-PBE", "state": "relaxed", "lattice": [[3.441, -2.663, 0.000], [3.441, 2.663, 0.000], [-2.751, 0.000, 5.123]], "species": ["Na", "Br", "Br"], "frac_coords": [[0.000, 0.000, 0.000], [0.497, 0.497, 0.251], [0.503, 0.503, 0.749]], "space_group": "C2/m", "energy_ev_per_atom": -2.52}

***

Entry 6:
{"formula": "Na5Br", "functional": "GGA-PBE", "state": "relaxed", "lattice": [[2.042, -8.519, 0.000], [2.042, 8.519, 0.000], [0.000, 0.000, 5.923]], "species": ["Na", "Na", "Na", "Na", "Na", "Br"], "frac_coords": [[0.000, 0.000, 0.000], [0.141, 0.859, 0.500], [0.325, 0.675, 0.000], [0.675, 0.325, 0.000], [0.859, 0.141, 0.500], [0.500, 0.500, 0.500]], "space_group": "Cmmm", "energy_ev_per_atom": -1.74}

***

Entry 7:
{"formula": "NaBr4", "functional": "GGA-PBE", "state": "relaxed", "lattice": [[4.484, 0.000, 0.000], [-2.242, 3.883, 0.000], [0.000, 0.000, 10.327]], "species": ["Na", "Br", "Br", "Br", "Br"], "frac_coords": [[0.000, 0.000, 0.000], [0.333, 0.667, 0.140], [0.333, 0.667, 0.392], [0.667, 0.333, 0.608], [0.667, 0.333, 0.860]], "space_group": "P-3m1", "energy_ev_per_atom": -1.95, "de_polymorph_mev_per_atom": 0}

***

Entry 8:
{"formula": "Na4Br", "functional": "GGA-PBE", "state": "relaxed", "lattice": [[5.849, 0.000, 0.000], [0.000, 5.849, 0.000], [0.000, 0.000, 5.849]], "species": ["Na", "Na", "Na", "Na", "Br"], "frac_coords": [[0.000, 0.000, 0.000], [0.000, 0.500, 0.500], [0.500, 0.000, 0.500], [0.500, 0.500, 0.000], [0.500, 0.500, 0.500]], "space_group": "Pm-3m", "energy_ev_per_atom": -1.84}

***

Entry 9:
{"formula": "Na2Br3", "functional": "GGA-PBE", "state": "relaxed", "lattice": [[3.971, 2.293, 5.698], [-3.971, 2.293, 5.698], [0.000, -4.586, 5.698]], "species": ["Na", "Na", "Na", "Na", "Br", "Br", "Br", "Br", "Br", "Br"], "frac_coords": [[0.139, 0.139, 0.139], [0.361, 0.361, 0.361], [0.639, 0.639, 0.639], [0.861, 0.861, 0.861], [0.050, 0.750, 0.450], [0.250, 0.550, 0.950], [0.450, 0.050, 0.750], [0.550, 0.950, 0.250], [0.750, 0.450, 0.050], [0.950, 0.250, 0.550]], "space_group": "R-3c", "energy_ev_per_atom": -2.57}

***

Entry 10:
{"formula": "NaBr4", "functional": "GGA-PBE", "state": "relaxed", "lattice": [[5.596, 0.000, 0.000], [0.000, 5.596, 0.000], [0.000, 0.000, 5.596]], "species": ["Na", "Br", "Br", "Br", "Br"], "frac_coords": [[0.000, 0.000, 0.000], [0.000, 0.000, 0.500], [0.000, 0.500, 0.000], [0.500, 0.000, 0.000], [0.500, 0.500, 0.500]], "space_group": "Pm-3m", "energy_ev_per_atom": -1.64, "de_polymorph_mev_per_atom": 311}

***

Entry 11:
{"formula": "Na6Br", "functional": "GGA-PBE", "state": "relaxed", "lattice": [[-4.522, 4.522, 4.522], [4.522, -4.522, 4.522], [4.522, 4.522, -4.522]], "species": ["Na", "Na", "Na", "Na", "Na", "Na", "Br"], "frac_coords": [[0.250, 0.500, 0.750], [0.250, 0.750, 0.500], [0.500, 0.250, 0.750], [0.500, 0.750, 0.250], [0.750, 0.250, 0.500], [0.750, 0.500, 0.250], [0.000, 0.000, 0.000]], "space_group": "Im-3m", "energy_ev_per_atom": -1.22}

***

Entry 12:
{"formula": "NaNbBr2", "functional": "GGA-PBE", "state": "relaxed", "lattice": [[1.711, 0.988, 10.696], [-1.711, 0.988, 10.696], [0.000, -1.976, 10.696]], "species": ["Na", "Nb", "Br", "Br"], "frac_coords": [[0.000, 0.000, 0.000], [0.500, 0.500, 0.500], [0.109, 0.109, 0.109], [0.891, 0.891, 0.891]], "space_group": "R-3m", "energy_ev_per_atom": -4.08, "de_polymorph_mev_per_atom": 0}

***

Entry 13:
{"formula": "Na2NbBr6", "functional": "GGA-PBE", "state": "relaxed", "lattice": [[3.673, 2.121, 6.239], [-3.673, 2.121, 6.239], [0.000, -4.241, 6.239]], "species": ["Na", "Na", "Nb", "Br", "Br", "Br", "Br", "Br", "Br"], "frac_coords": [[0.203, 0.203, 0.203], [0.797, 0.797, 0.797], [0.000, 0.000, 0.000], [0.120, 0.347, 0.775], [0.225, 0.880, 0.653], [0.347, 0.775, 0.120], [0.653, 0.225, 0.880], [0.775, 0.120, 0.347], [0.880, 0.653, 0.225]], "space_group": "R-3", "energy_ev_per_atom": -3.66, "de_polymorph_mev_per_atom": 0}

***

Entry 14:
{"formula": "Na2NbBr", "functional": "GGA-PBE", "state": "relaxed", "lattice": [[-4.494, 4.494, 2.846], [4.494, -4.494, 2.846], [4.494, 4.494, -2.846]], "species": ["Na", "Na", "Na", "Na", "Nb", "Nb", "Br", "Br"], "frac_coords": [[0.068, 0.625, 0.943], [0.375, 0.318, 0.443], [0.682, 0.125, 0.057], [0.875, 0.932, 0.557], [0.250, 0.750, 0.500], [0.500, 0.500, 0.000], [0.000, 0.000, 0.000], [0.750, 0.250, 0.500]], "space_group": "I-42d", "energy_ev_per_atom": -3.07, "de_polymorph_mev_per_atom": 0}

***

Entry 15:
{"formula": "Na2NbBr", "functional": "GGA-PBE", "state": "relaxed", "lattice": [[0.000, 3.881, 3.881], [3.881, 0.000, 3.881], [3.881, 3.881, 0.000]], "species": ["Na", "Na", "Nb", "Br"], "frac_coords": [[0.250, 0.250, 0.250], [0.750, 0.750, 0.750], [0.000, 0.000, 0.000], [0.500, 0.500, 0.500]], "space_group": "Fm-3m", "energy_ev_per_atom": -2.89, "de_polymorph_mev_per_atom": 182}

***

Entry 16:
{"formula": "NaNb3Br", "functional": "GGA-PBE", "state": "relaxed", "lattice": [[4.848, 0.000, 0.000], [0.000, 4.848, 0.000], [0.000, 0.000, 4.848]], "species": ["Na", "Nb", "Nb", "Nb", "Br"], "frac_coords": [[0.000, 0.000, 0.000], [0.000, 0.500, 0.500], [0.500, 0.000, 0.500], [0.500, 0.500, 0.000], [0.500, 0.500, 0.500]], "space_group": "Pm-3m", "energy_ev_per_atom": -5.37, "de_polymorph_mev_per_atom": 0}

***

Entry 17:
{"formula": "NaNb3Br", "functional": "GGA-PBE", "state": "relaxed", "lattice": [[4.826, 0.000, 0.000], [0.000, 4.826, 0.000], [0.000, 0.000, 4.826]], "species": ["Na", "Nb", "Nb", "Nb", "Br"], "frac_coords": [[0.000, 0.000, 0.000], [0.000, 0.000, 0.500], [0.000, 0.500, 0.000], [0.500, 0.000, 0.000], [0.500, 0.500, 0.500]], "space_group": "Pm-3m", "energy_ev_per_atom": -4.39, "de_polymorph_mev_per_atom": 977}

***

Entry 18:
{"formula": "Na3NbBr", "functional": "GGA-PBE", "state": "relaxed", "lattice": [[5.550, 0.000, 0.000], [0.000, 5.550, 0.000], [0.000, 0.000, 5.550]], "species": ["Na", "Na", "Na", "Nb", "Br"], "frac_coords": [[0.000, 0.000, 0.500], [0.000, 0.500, 0.000], [0.500, 0.000, 0.000], [0.500, 0.500, 0.500], [0.000, 0.000, 0.000]], "space_group": "Pm-3m", "energy_ev_per_atom": -2.69, "de_polymorph_mev_per_atom": 0}

***

Entry 19:
{"formula": "NaNbBr6", "functional": "GGA-PBE", "state": "relaxed", "lattice": [[3.506, 2.024, 6.288], [-3.506, 2.024, 6.288], [0.000, -4.048, 6.288]], "species": ["Na", "Nb", "Br", "Br", "Br", "Br", "Br", "Br"], "frac_coords": [[0.000, 0.000, 0.000], [0.500, 0.500, 0.500], [0.116, 0.712, 0.440], [0.288, 0.560, 0.884], [0.440, 0.116, 0.712], [0.560, 0.884, 0.288], [0.712, 0.440, 0.116], [0.884, 0.288, 0.560]], "space_group": "R-3", "energy_ev_per_atom": -3.67, "de_polymorph_mev_per_atom": 3}

***

Entry 20:
{"formula": "NaNbBr2", "functional": "GGA-PBE", "state": "relaxed", "lattice": [[0.000, 3.417, 3.417], [3.417, 0.000, 3.417], [3.417, 3.417, 0.000]], "species": ["Na", "Nb", "Br", "Br"], "frac_coords": [[0.000, 0.000, 0.000], [0.500, 0.500, 0.500], [0.250, 0.250, 0.250], [0.750, 0.750, 0.750]], "space_group": "Fm-3m", "energy_ev_per_atom": -3.71, "de_polymorph_mev_per_atom": 375}

***

Entry 21:
{"formula": "NaNbBr2", "functional": "GGA-PBE", "state": "relaxed", "lattice": [[-3.845, 3.845, 3.821], [3.845, -3.845, 3.821], [3.845, 3.845, -3.821]], "species": ["Na", "Na", "Nb", "Nb", "Br", "Br", "Br", "Br"], "frac_coords": [[0.000, 0.000, 0.000], [0.750, 0.250, 0.500], [0.250, 0.750, 0.500], [0.500, 0.500, 0.000], [0.150, 0.625, 0.025], [0.375, 0.400, 0.525], [0.600, 0.125, 0.975], [0.875, 0.850, 0.475]], "space_group": "I-42d", "energy_ev_per_atom": -3.86, "de_polymorph_mev_per_atom": 222}

***

Entry 22:
{"formula": "Na3NbBr", "functional": "GGA-PBE", "state": "relaxed", "lattice": [[6.054, 0.000, 0.000], [0.000, 6.054, 0.000], [0.000, 0.000, 6.054]], "species": ["Na", "Na", "Na", "Nb", "Br"], "frac_coords": [[0.000, 0.000, 0.500], [0.000, 0.500, 0.000], [0.500, 0.000, 0.000], [0.000, 0.000, 0.000], [0.500, 0.500, 0.500]], "space_group": "Pm-3m", "energy_ev_per_atom": -2.34, "de_polymorph_mev_per_atom": 354}

***

Entry 23:
{"formula": "Na2NbBr6", "functional": "GGA-PBE", "state": "relaxed", "lattice": [[6.782, 0.000, 0.000], [0.000, 6.782, 0.000], [0.000, 0.000, 12.761]], "species": ["Na", "Na", "Na", "Na", "Nb", "Nb", "Br", "Br", "Br", "Br", "Br", "Br", "Br", "Br", "Br", "Br", "Br", "Br"], "frac_coords": [[0.000, 0.000, 0.169], [0.000, 0.000, 0.831], [0.500, 0.500, 0.331], [0.500, 0.500, 0.669], [0.000, 0.000, 0.500], [0.500, 0.500, 0.000], [0.189, 0.189, 0.353], [0.189, 0.189, 0.647], [0.231, 0.231, 0.000], [0.269, 0.731, 0.500], [0.311, 0.689, 0.147], [0.311, 0.689, 0.853], [0.689, 0.311, 0.147], [0.689, 0.311, 0.853], [0.731, 0.269, 0.500], [0.769, 0.769, 0.000], [0.811, 0.811, 0.353], [0.811, 0.811, 0.647]], "space_group": "P4_2/mnm", "energy_ev_per_atom": -3.65, "de_polymorph_mev_per_atom": 9}

***

Entry 24:
{"formula": "NaNbBr6", "functional": "GGA-PBE", "state": "relaxed", "lattice": [[3.531, -6.306, 0.000], [3.531, 6.306, 0.000], [-2.197, 0.000, 6.625]], "species": ["Na", "Nb", "Br", "Br", "Br", "Br", "Br", "Br"], "frac_coords": [[0.000, 0.000, 0.000], [0.500, 0.500, 0.500], [0.140, 0.431, 0.279], [0.275, 0.275, 0.720], [0.431, 0.140, 0.279], [0.569, 0.860, 0.721], [0.725, 0.725, 0.280], [0.860, 0.569, 0.721]], "space_group": "C2/m", "energy_ev_per_atom": -3.67, "de_polymorph_mev_per_atom": 0}

***

Entry 25:
{"formula": "Na2NbBr5", "functional": "GGA-PBE", "state": "relaxed", "lattice": [[6.427, -4.046, 0.000], [6.427, 4.046, 0.000], [-2.578, 0.000, 7.216]], "species": ["Na", "Na", "Nb", "Br", "Br", "Br", "Br", "Br"], "frac_coords": [[0.000, 0.000, 0.000], [0.574, 0.574, 0.541], [0.571, 0.571, 0.998], [0.248, 0.694, 0.746], [0.363, 0.814, 0.253], [0.694, 0.248, 0.746], [0.749, 0.749, 0.924], [0.814, 0.363, 0.253]], "space_group": "Cm", "energy_ev_per_atom": -3.68}

***

| no. | E_form (uncorrected) (eV per atom) |
| --- | --- |
| 1 | 0.881 |
| 2 | -1.440 |
| 3 | -0.310 |
| 4 | -1.288 |
| 5 | -0.964 |
| 6 | -0.366 |
| 7 | -0.344 |
| 8 | -0.451 |
| 9 | -1.037 |
| 10 | -0.033 |
| 11 | 0.149 |
| 12 | -0.399 |
| 13 | -1.134 |
| 14 | 0.523 |
| 15 | 0.705 |
| 16 | 1.268 |
| 17 | 2.245 |
| 18 | 0.451 |
| 19 | -0.990 |
| 20 | -0.024 |
| 21 | -0.177 |
| 22 | 0.805 |
| 23 | -1.126 |
| 24 | -0.993 |
| 25 | -1.048 |